VASP calculation (PBEsol) on Li3HgO after structural relaxation.

Cell lengths 3.987, 3.987, 3.987 Å; angles 90.00, 90.00, 90.00 degrees
Space group Pm-3m (No. 221)
One atom of each set of equivalent atoms:
Li 0.000 0.000 0.500 (multiplicity 3)
Hg 0.500 0.500 0.500 (multiplicity 1)
O 0.000 0.000 0.000 (multiplicity 1)

Computed properties:
calculated volume: 12.68 Å³/atom
raw total energy: -3.409 eV/atom


VASP calculation (PBEsol) on LiNd2Ru after structural relaxation.

Cell lengths 7.057, 7.057, 7.057 Å; angles 90.00, 90.00, 90.00 degrees
Space group Fm-3m (No. 225)
One atom of each set of equivalent atoms:
Li 0.000 0.000 0.000 (multiplicity 4)
Nd 0.250 0.250 0.250 (multiplicity 8)
Ru 0.000 0.000 0.500 (multiplicity 4)

Computed properties:
E_form: -0.10 eV/atom
calculated volume: 21.97 Å³/atom
raw total energy: -5.713 eV/atom


VASP calculation (PBEsol) on AlInCl4 after structural relaxation.

Cell lengths 10.404, 6.958, 9.403 Å; angles 90.00, 90.00, 90.00 degrees
Space group Pnma (No. 62)
One atom of each set of equivalent atoms:
Al 0.060 0.250 0.184 (multiplicity 4)
In 0.208 0.250 0.732 (multiplicity 4)
Cl 0.059 0.000 0.320 (multiplicity 8)
Cl 0.108 0.750 0.946 (multiplicity 4)
Cl 0.236 0.250 0.064 (multiplicity 4)

Computed properties:
calculated volume: 28.36 Å³/atom
raw total energy: -3.804 eV/atom


VASP calculation (PBEsol) on Y3Mo after structural relaxation.

Cell lengths 3.4956, 3.4956, 9.8903 Å; angles 90.00, 90.00, 120.00 degrees
Space group P-6m2 (No. 187)
One atom of each set of equivalent atoms:
Y 0.0000 0.0000 0.0000 (multiplicity 1)
Y 0.6667 0.3333 0.2946 (multiplicity 2)
Mo 0.0000 0.0000 0.5000 (multiplicity 1)

Computed properties:
E_form: 0.44 eV/atom
calculated volume: 26.16 Å³/atom
raw total energy: -7.620 eV/atom


VASP calculation (PBEsol) on CsNaHfIn2 after structural relaxation.

Cell lengths 5.905, 5.905, 5.296 Å; angles 90.00, 90.00, 90.00 degrees
Space group P4/mmm (No. 123)
One atom of each set of equivalent atoms:
Cs 0.000 0.000 0.000 (multiplicity 1)
Na 0.000 0.000 0.500 (multiplicity 1)
Hf 0.500 0.500 0.500 (multiplicity 1)
In 0.000 0.500 0.000 (multiplicity 2)

Computed properties:
E_form: 1.60 eV/atom
calculated volume: 36.93 Å³/atom
raw total energy: -2.162 eV/atom


VASP calculation (PBEsol) on LaMnIn after structural relaxation.

Cell lengths 3.360, 3.360, 12.099 Å; angles 90.00, 90.00, 90.00 degrees
Space group I4mm (No. 107)
One atom of each set of equivalent atoms:
La 0.000 0.000 0.000 (multiplicity 2)
Mn 0.000 0.000 0.671 (multiplicity 2)
In 0.000 0.000 0.291 (multiplicity 2)

Computed properties:
E_form: 0.08 eV/atom
calculated volume: 22.77 Å³/atom
raw total energy: -5.954 eV/atom


VASP calculation (PBEsol) on LiInAg4 after structural relaxation.

Cell lengths 7.684, 7.684, 7.684 Å; angles 90.00, 90.00, 90.00 degrees
Space group F-43m (No. 216)
One atom of each set of equivalent atoms:
Li 0.000 0.000 0.000 (multiplicity 4)
In 0.250 0.250 0.250 (multiplicity 4)
Ag 0.125 0.125 0.625 (multiplicity 16)

Computed properties:
E_form: -0.05 eV/atom
calculated volume: 18.90 Å³/atom
raw total energy: -3.080 eV/atom


VASP calculation (PBEsol) on HfTi2Co after structural relaxation.

Cell lengths 6.238, 6.238, 6.238 Å; angles 90.00, 90.00, 90.00 degrees
Space group Fm-3m (No. 225)
One atom of each set of equivalent atoms:
Hf 0.000 0.000 0.000 (multiplicity 4)
Ti 0.250 0.250 0.250 (multiplicity 8)
Co 0.000 0.000 0.500 (multiplicity 4)

Computed properties:
E_form: 0.06 eV/atom
calculated volume: 15.17 Å³/atom
raw total energy: -8.661 eV/atom


VASP calculation (PBEsol) on LaBeCu after structural relaxation.

Cell lengths 6.276, 6.276, 6.276 Å; angles 90.00, 90.00, 90.00 degrees
Space group F-43m (No. 216)
One atom of each set of equivalent atoms:
La 0.000 0.000 0.000 (multiplicity 4)
Be 0.250 0.250 0.750 (multiplicity 4)
Cu 0.000 0.000 0.500 (multiplicity 4)

Computed properties:
E_form: 0.40 eV/atom
calculated volume: 20.60 Å³/atom
raw total energy: -4.161 eV/atom


VASP calculation (PBEsol) on TlHg2Pd2 after structural relaxation.

Cell lengths 7.275, 7.275, 3.617 Å; angles 90.00, 90.00, 90.00 degrees
Space group P4/mbm (No. 127)
One atom of each set of equivalent atoms:
Tl 0.000 0.000 0.000 (multiplicity 2)
Hg 0.154 0.346 0.500 (multiplicity 4)
Pd 0.143 0.643 0.000 (multiplicity 4)

Computed properties:
E_form: -0.16 eV/atom
calculated volume: 19.14 Å³/atom
raw total energy: -3.296 eV/atom


VASP calculation (PBEsol) on BaHgRh2 after structural relaxation.

Cell lengths 3.155, 4.956, 10.539 Å; angles 90.00, 90.00, 90.00 degrees
Space group Imm2 (No. 44)
One atom of each set of equivalent atoms:
Ba 0.000 0.000 0.000 (multiplicity 2)
Hg 0.000 0.500 0.788 (multiplicity 2)
Rh 0.000 0.000 0.526 (multiplicity 2)
Rh 0.000 0.500 0.224 (multiplicity 2)

Computed properties:
E_form: 0.22 eV/atom
calculated volume: 20.60 Å³/atom
raw total energy: -4.530 eV/atom


VASP calculation (PBEsol) on RbTbNiSe3 after structural relaxation.

Cell lengths 3.997, 15.099, 10.605 Å; angles 90.00, 90.00, 90.00 degrees
Space group Cmcm (No. 63)
One atom of each set of equivalent atoms:
Rb 0.000 0.243 0.250 (multiplicity 4)
Tb 0.000 0.500 0.000 (multiplicity 4)
Ni 0.000 0.029 0.750 (multiplicity 4)
Se 0.000 0.123 0.572 (multiplicity 8)
Se 0.000 0.441 0.750 (multiplicity 4)

Computed properties:
calculated volume: 26.67 Å³/atom
raw total energy: -5.109 eV/atom